Record 1
Density functional theory data (GGA-PBE) for a relaxed structure of Pm2Nd8Y.

Cell lengths 6.0484, 9.2458, 9.5615 Å; angles 61.09, 74.36, 56.11 degrees
With the nearest neighbours (Å) after each atom.
Element x y z (fractional)
Y1 0.5000 0.0000 0.0000  4 Nd 3.39-3.44
Nd1 0.1808 0.9017 0.7654  3 Nd 3.28-3.59, 2 Pm 3.58-3.61
Nd2 0.5000 0.2056 0.5887  1 Y 3.44, 2 Pm 3.49, 6 Nd 3.71-3.77
Nd3 0.8192 0.0983 0.2346  3 Nd 3.28-3.59, 2 Pm 3.58-3.61
Pm1 0.0000 0.3091 0.3817  10 Nd 3.49-3.87
Nd4 0.5000 0.7944 0.4113  1 Y 3.44, 2 Pm 3.49, 6 Nd 3.71-3.77
Nd5 0.8192 0.3330 0.7654  3 Nd 3.28-3.59, 2 Pm 3.58-3.61
Nd6 0.1808 0.6670 0.2346  3 Nd 3.28-3.59, 2 Pm 3.58-3.61
Nd7 0.2965 0.4234 0.0000  3 Nd 3.03-3.28, 1 Y 3.39
Nd8 0.7035 0.5766 0.0000  3 Nd 3.03-3.28, 1 Y 3.39
Pm2 0.0000 0.6909 0.6183  10 Nd 3.49-3.87

**SG**: C2/m
**Size of the total moment**: 0.000 μB/atom
**Theoretical density**: 6.6 Mg/m³
**Energy of formation from the pure elements**: 0.135 eV per atom


Record 2
Density functional theory data (GGA-PBE) for a relaxed structure of Pm5Nd2Y6.

Cell lengths 3.6205, 11.8269, 20.6736 Å; angles 90.00, 90.00, 90.00 degrees
With the nearest neighbours (Å) after each atom.
Element x y z (fractional)
Nd1 0.0000 0.6702 0.7138  3 Y 3.40-3.67, 4 Pm 3.55-3.63, 2 Nd 3.62
Y1 0.0000 0.5584 0.4207  6 Pm 3.52-3.63, 5 Y 3.56-3.75, 1 Nd 3.88
Y2 0.0000 0.9416 0.9207  6 Pm 3.52-3.63, 5 Y 3.56-3.75, 1 Nd 3.88
Nd2 0.0000 0.1702 0.7862  3 Y 3.40-3.67, 4 Pm 3.55-3.63, 2 Nd 3.62
Pm1 0.5000 0.4131 0.7245  5 Y 3.37-3.52, 4 Nd 3.55-3.63, 2 Pm 3.62
Pm2 0.5000 0.2987 0.4507  7 Y 3.60-4.00, 3 Pm 3.62-3.68, 2 Nd 3.87
Pm3 0.5000 0.0000 0.5000  6 Y 3.41-3.45, 4 Pm 3.62-3.68
Y3 0.0000 0.4207 0.8675  1 Nd 3.40, 6 Pm 3.41-3.60, 4 Y 3.55-3.62
Pm4 0.5000 0.9131 0.7755  5 Y 3.37-3.52, 4 Nd 3.55-3.63, 2 Pm 3.62
Y4 0.0000 0.0584 0.0793  6 Pm 3.52-3.63, 5 Y 3.56-3.75, 1 Nd 3.88
Nd3 0.0000 0.3298 0.2862  3 Y 3.40-3.67, 4 Pm 3.55-3.63, 2 Nd 3.62
Pm5 0.5000 0.2013 0.9507  7 Y 3.60-4.00, 3 Pm 3.62-3.68, 2 Nd 3.87
Y5 0.0000 0.4416 0.5793  6 Pm 3.52-3.63, 5 Y 3.56-3.75, 1 Nd 3.88
Y6 0.5000 0.6790 0.8683  2 Pm 3.37-3.45, 6 Y 3.55-3.75, 2 Nd 3.67
Y7 0.0000 0.9207 0.6325  1 Nd 3.40, 6 Pm 3.41-3.60, 4 Y 3.55-3.62
Pm6 0.5000 0.7013 0.5493  7 Y 3.60-4.00, 3 Pm 3.62-3.68, 2 Nd 3.87
Y8 0.5000 0.1790 0.6317  2 Pm 3.37-3.45, 6 Y 3.55-3.75, 2 Nd 3.67
Pm7 0.5000 0.7987 0.0493  7 Y 3.60-4.00, 3 Pm 3.62-3.68, 2 Nd 3.87
Pm8 0.5000 0.5000 0.0000  6 Y 3.41-3.45, 4 Pm 3.62-3.68
Y9 0.5000 0.8210 0.3683  2 Pm 3.37-3.45, 6 Y 3.55-3.75, 2 Nd 3.67
Y10 0.0000 0.0793 0.3675  1 Nd 3.40, 6 Pm 3.41-3.60, 4 Y 3.55-3.62
Y11 0.0000 0.5793 0.1325  1 Nd 3.40, 6 Pm 3.41-3.60, 4 Y 3.55-3.62
Pm9 0.5000 0.5869 0.2755  5 Y 3.37-3.52, 4 Nd 3.55-3.63, 2 Pm 3.62
Nd4 0.0000 0.8298 0.2138  3 Y 3.40-3.67, 4 Pm 3.55-3.63, 2 Nd 3.62
Y12 0.5000 0.3210 0.1317  2 Pm 3.37-3.45, 6 Y 3.55-3.75, 2 Nd 3.67
Pm10 0.5000 0.0869 0.2245  5 Y 3.37-3.52, 4 Nd 3.55-3.63, 2 Pm 3.62

**SG**: Pbam
**Size of the total moment**: 0.000 μB/atom
**Theoretical density**: 5.8 Mg/m³
**Energy of formation from the pure elements**: 0.093 eV per atom


Record 3
Density functional theory data (GGA-PBE) for a relaxed structure of Pm3Nd4Y8.

Cell lengths 6.8252, 9.3925, 9.3925 Å; angles 87.17, 111.33, 111.33 degrees
With the nearest neighbours (Å) after each atom.
Element x y z (fractional)
Nd1 0.0000 0.0000 0.0000  2 Nd 3.41, 4 Y 3.60-3.62
Y1 0.5000 0.7448 0.2552  3 Pm 3.17-3.40, 3 Nd 3.30-3.40
Y2 0.5000 0.2552 0.7448  3 Pm 3.17-3.40, 3 Nd 3.30-3.40
Y3 0.0059 0.2675 0.2675  4 Nd 3.25-3.62, 1 Pm 3.27, 2 Y 3.28-3.55
Nd2 0.0000 0.0000 0.5000  4 Y 3.25-3.40, 2 Pm 3.41
Y4 0.0000 0.3584 0.6416  7 Y 3.66-3.69, 4 Pm 3.68-3.87, 2 Nd 3.68
Nd3 0.5000 0.0000 0.0000  6 Y 3.30-3.55, 2 Nd 3.41
Nd4 0.0000 0.5000 0.0000  4 Y 3.25-3.40, 2 Pm 3.41
Pm1 0.5000 0.5000 0.0000  4 Y 3.24-3.40, 2 Nd 3.41
Pm2 0.5000 0.0000 0.5000  4 Y 3.24-3.40, 2 Nd 3.41
Y5 0.0000 0.6416 0.3584  7 Y 3.66-3.69, 4 Pm 3.68-3.87, 2 Nd 3.68
Pm3 0.5000 0.5000 0.5000  6 Y 3.17-3.27
Y6 0.5247 0.2666 0.2666  3 Pm 3.24-3.26, 2 Y 3.28-3.55, 2 Nd 3.55-3.60
Y7 0.9941 0.7325 0.7325  4 Nd 3.25-3.62, 1 Pm 3.27, 2 Y 3.28-3.55
Y8 0.4753 0.7334 0.7334  3 Pm 3.24-3.26, 2 Y 3.28-3.55, 2 Nd 3.55-3.60

**SG**: C2/m
**Size of the total moment**: 0.000 μB/atom
**Theoretical density**: 5.5 Mg/m³
**Energy of formation from the pure elements**: 0.358 eV per atom


Question: What is the theoretical density in the third record?
Answer: 5.5 Mg/m³